Record 1
# GGA-PBE ZnCrOs2, relaxed
data_ZnCrOs2
_chemical_formula_sum 'Zn1 Cr1 Os2'
_cell_length_a 5.009
_cell_length_b 5.009
_cell_length_c 5.009
_cell_angle_alpha 145.10
_cell_angle_beta 130.84
_cell_angle_gamma 61.70
_symmetry_space_group_name_H-M 'P 1'
_symmetry_Int_Tables_number 1
loop_
_symmetry_equiv_pos_as_xyz
'x,y,z'
loop_
_atom_site_label
_atom_site_fract_x
_atom_site_fract_y
_atom_site_fract_z
Zn1 0.000 0.000 0.000
Cr1 0.243 0.743 0.500
Os1 0.486 0.486 0.000
Os2 0.745 0.245 0.500
# D(E_F): 3.42 states/eV per cell
# Energy of formation from the pure elements: 0.24 eV/atom
# Space-group type: No. 44

Record 2
# GGA-PBE SbSeCl, relaxed
data_SbSeCl
_chemical_formula_sum 'Sb1 Se1 Cl1'
_cell_length_a 4.914
_cell_length_b 4.914
_cell_length_c 4.914
_cell_angle_alpha 60.00
_cell_angle_beta 60.00
_cell_angle_gamma 60.00
_symmetry_space_group_name_H-M 'P 1'
_symmetry_Int_Tables_number 1
loop_
_symmetry_equiv_pos_as_xyz
'x,y,z'
loop_
_atom_site_label
_atom_site_fract_x
_atom_site_fract_y
_atom_site_fract_z
Sb1 0.000 0.000 0.000
Se1 0.250 0.250 0.250
Cl1 0.500 0.500 0.500
# D(E_F): 1.34 states/eV per cell
# E_form (uncorrected): 0.1034 eV per atom
# Space-group type: No. 216

Record 3
# GGA-PBE Ac3Pm4Pr4, relaxed
data_Ac3Pm4Pr4
_chemical_formula_sum 'Ac3 Pm4 Pr4'
_cell_length_a 3.727
_cell_length_b 5.924
_cell_length_c 19.149
_cell_angle_alpha 98.88
_cell_angle_beta 95.56
_cell_angle_gamma 90.00
_symmetry_space_group_name_H-M 'P 1'
_symmetry_Int_Tables_number 1
loop_
_symmetry_equiv_pos_as_xyz
'x,y,z'
loop_
_atom_site_label
_atom_site_fract_x
_atom_site_fract_y
_atom_site_fract_z
Ac1 0.000 0.000 0.000
Ac2 0.136 0.637 0.275
Ac3 0.864 0.363 0.725
Pm1 0.265 0.265 0.530
Pm2 0.407 0.909 0.816
Pm3 0.593 0.091 0.184
Pm4 0.735 0.735 0.470
Pr1 0.318 0.818 0.636
Pr2 0.457 0.455 0.908
Pr3 0.543 0.545 0.092
Pr4 0.682 0.182 0.364
# D(E_F): 16.69 states/eV per cell
# Energy of formation from the pure elements: 0.01 eV/atom
# Space-group type: No. 2

Record 4
# GGA-PBE PrTm2Pd9, relaxed
data_PrTm2Pd9
_chemical_formula_sum 'Pr1 Tm2 Pd9'
_cell_length_a 4.148
_cell_length_b 4.148
_cell_length_c 12.351
_cell_angle_alpha 90.00
_cell_angle_beta 90.00
_cell_angle_gamma 90.00
_symmetry_space_group_name_H-M 'P 1'
_symmetry_Int_Tables_number 1
loop_
_symmetry_equiv_pos_as_xyz
'x,y,z'
loop_
_atom_site_label
_atom_site_fract_x
_atom_site_fract_y
_atom_site_fract_z
Pr1 0.000 0.000 0.000
Tm1 0.000 0.000 0.338
Tm2 0.000 0.000 0.662
Pd1 0.000 0.500 0.175
Pd2 0.000 0.500 0.500
Pd3 0.000 0.500 0.825
Pd4 0.500 0.000 0.175
Pd5 0.500 0.000 0.500
Pd6 0.500 0.000 0.825
Pd7 0.500 0.500 0.000
Pd8 0.500 0.500 0.336
Pd9 0.500 0.500 0.664
# D(E_F): 9.36 states/eV per cell
# Energy of formation from the pure elements: -0.85 eV/atom
# Space-group type: No. 123

Record 5
# GGA-PBE RhSe3N, relaxed
data_RhSe3N
_chemical_formula_sum 'Rh1 Se3 N1'
_cell_length_a 4.330
_cell_length_b 4.330
_cell_length_c 4.330
_cell_angle_alpha 90.00
_cell_angle_beta 90.00
_cell_angle_gamma 90.00
_symmetry_space_group_name_H-M 'P 1'
_symmetry_Int_Tables_number 1
loop_
_symmetry_equiv_pos_as_xyz
'x,y,z'
loop_
_atom_site_label
_atom_site_fract_x
_atom_site_fract_y
_atom_site_fract_z
Rh1 0.000 0.000 0.000
Se1 0.000 0.500 0.500
Se2 0.500 0.000 0.500
Se3 0.500 0.500 0.000
N1 0.500 0.500 0.500
# Offset from the most stable computed form: 0.0 meV/atom
# D(E_F): 5.01 states/eV per cell
# E_form (uncorrected): 1.0370 eV per atom
# Space-group type: No. 221

Record 6
# GGA-PBE Na3TcC, relaxed
data_Na3TcC
_chemical_formula_sum 'Na3 Tc1 C1'
_cell_length_a 5.570
_cell_length_b 5.570
_cell_length_c 5.570
_cell_angle_alpha 90.00
_cell_angle_beta 90.00
_cell_angle_gamma 90.00
_symmetry_space_group_name_H-M 'P 1'
_symmetry_Int_Tables_number 1
loop_
_symmetry_equiv_pos_as_xyz
'x,y,z'
loop_
_atom_site_label
_atom_site_fract_x
_atom_site_fract_y
_atom_site_fract_z
Na1 0.000 0.000 0.500
Na2 0.000 0.500 0.000
Na3 0.500 0.000 0.000
Tc1 0.000 0.000 0.000
C1 0.500 0.500 0.500
# Offset from the most stable computed form: 824.5 meV/atom
# D(E_F): 12.02 states/eV per cell
# Energy of formation from the pure elements: 2.52 eV/atom
# Space-group type: No. 221

Record 7
# GGA-PBE KInI, relaxed
data_KInI
_chemical_formula_sum 'K2 In2 I2'
_cell_length_a 4.759
_cell_length_b 4.813
_cell_length_c 10.971
_cell_angle_alpha 89.29
_cell_angle_beta 88.56
_cell_angle_gamma 89.04
_symmetry_space_group_name_H-M 'P 1'
_symmetry_Int_Tables_number 1
loop_
_symmetry_equiv_pos_as_xyz
'x,y,z'
loop_
_atom_site_label
_atom_site_fract_x
_atom_site_fract_y
_atom_site_fract_z
K1 0.236 0.244 0.168
K2 0.764 0.756 0.832
In1 0.253 0.252 0.514
In2 0.747 0.748 0.486
I1 0.263 0.255 0.835
I2 0.737 0.745 0.165
# D(E_F): 2.24 states/eV per cell
# E_form (uncorrected): -0.7298 eV per atom
# Space-group type: No. 2

Record 8
# GGA-PBE DyEr12Tl3, relaxed
data_DyEr12Tl3
_chemical_formula_sum 'Dy1 Er12 Tl3'
_cell_length_a 4.825
_cell_length_b 4.825
_cell_length_c 19.667
_cell_angle_alpha 90.00
_cell_angle_beta 90.00
_cell_angle_gamma 90.00
_symmetry_space_group_name_H-M 'P 1'
_symmetry_Int_Tables_number 1
loop_
_symmetry_equiv_pos_as_xyz
'x,y,z'
loop_
_atom_site_label
_atom_site_fract_x
_atom_site_fract_y
_atom_site_fract_z
Dy1 0.000 0.000 0.000
Er1 0.000 0.500 0.129
Er2 0.000 0.500 0.377
Er3 0.000 0.500 0.623
Er4 0.000 0.500 0.871
Er5 0.500 0.000 0.129
Er6 0.500 0.000 0.377
Er7 0.500 0.000 0.623
Er8 0.500 0.000 0.871
Er9 0.500 0.500 0.000
Er10 0.500 0.500 0.255
Er11 0.500 0.500 0.500
Er12 0.500 0.500 0.745
Tl1 0.000 0.000 0.256
Tl2 0.000 0.000 0.500
Tl3 0.000 0.000 0.744
# D(E_F): 19.59 states/eV per cell
# Energy of formation from the pure elements: -0.12 eV/atom
# Space-group type: No. 123

Record 9
# GGA-PBE Zn5CdAg7, relaxed
data_Zn5CdAg7
_chemical_formula_sum 'Zn5 Cd1 Ag7'
_cell_length_a 7.048
_cell_length_b 7.048
_cell_length_c 7.048
_cell_angle_alpha 136.20
_cell_angle_beta 98.87
_cell_angle_gamma 97.12
_symmetry_space_group_name_H-M 'P 1'
_symmetry_Int_Tables_number 1
loop_
_symmetry_equiv_pos_as_xyz
'x,y,z'
loop_
_atom_site_label
_atom_site_fract_x
_atom_site_fract_y
_atom_site_fract_z
Zn1 0.000 0.000 0.000
Zn2 0.227 0.229 0.498
Zn3 0.227 0.729 0.998
Zn4 0.731 0.229 0.002
Zn5 0.731 0.729 0.502
Cd1 0.239 0.739 0.500
Ag1 0.030 0.226 0.804
Ag2 0.421 0.226 0.196
Ag3 0.457 0.457 0.000
Ag4 0.574 0.731 0.843
Ag5 0.585 0.085 0.500
Ag6 0.888 0.731 0.157
Ag7 0.889 0.389 0.500
# D(E_F): 4.17 states/eV per cell
# Energy of formation from the pure elements: -0.01 eV/atom
# Space-group type: No. 44

Record 10
# GGA-PBE BaPO3, relaxed
data_BaPO3
_chemical_formula_sum 'Ba1 P1 O3'
_cell_length_a 3.904
_cell_length_b 3.904
_cell_length_c 3.904
_cell_angle_alpha 90.00
_cell_angle_beta 90.00
_cell_angle_gamma 90.00
_symmetry_space_group_name_H-M 'P 1'
_symmetry_Int_Tables_number 1
loop_
_symmetry_equiv_pos_as_xyz
'x,y,z'
loop_
_atom_site_label
_atom_site_fract_x
_atom_site_fract_y
_atom_site_fract_z
Ba1 0.000 0.000 0.000
P1 0.500 0.500 0.500
O1 0.000 0.500 0.500
O2 0.500 0.000 0.500
O3 0.500 0.500 0.000
# D(E_F): 0.76 states/eV per cell
# E_form (uncorrected): -1.7773 eV per atom
# Space-group type: No. 221

Record 11
# GGA-PBE PuPaAlPt, relaxed
data_PuPaAlPt
_chemical_formula_sum 'Pu1 Pa1 Al1 Pt1'
_cell_length_a 4.863
_cell_length_b 4.863
_cell_length_c 4.863
_cell_angle_alpha 60.00
_cell_angle_beta 60.00
_cell_angle_gamma 60.00
_symmetry_space_group_name_H-M 'P 1'
_symmetry_Int_Tables_number 1
loop_
_symmetry_equiv_pos_as_xyz
'x,y,z'
loop_
_atom_site_label
_atom_site_fract_x
_atom_site_fract_y
_atom_site_fract_z
Pu1 0.000 0.000 0.000
Pa1 0.250 0.250 0.250
Al1 0.750 0.750 0.750
Pt1 0.500 0.500 0.500
# D(E_F): 6.49 states/eV per cell
# Energy of formation from the pure elements: -0.47 eV/atom
# Space-group type: No. 216

Record 12
# GGA-PBE NbIrPbAu2, relaxed
data_NbIrPbAu2
_chemical_formula_sum 'Nb1 Ir1 Pb1 Au2'
_cell_length_a 5.196
_cell_length_b 5.196
_cell_length_c 4.784
_cell_angle_alpha 90.00
_cell_angle_beta 90.00
_cell_angle_gamma 90.00
_symmetry_space_group_name_H-M 'P 1'
_symmetry_Int_Tables_number 1
loop_
_symmetry_equiv_pos_as_xyz
'x,y,z'
loop_
_atom_site_label
_atom_site_fract_x
_atom_site_fract_y
_atom_site_fract_z
Nb1 0.000 0.000 0.000
Ir1 0.000 0.000 0.500
Pb1 0.500 0.500 0.500
Au1 0.000 0.500 0.000
Au2 0.500 0.000 0.000
# D(E_F): 4.67 states/eV per cell
# Energy of formation from the pure elements: 0.82 eV/atom
# Space-group type: No. 123

Record 13
# GGA-PBE PbSe5, relaxed
data_PbSe5
_chemical_formula_sum 'Pb1 Se5'
_cell_length_a 6.486
_cell_length_b 6.486
_cell_length_c 4.010
_cell_angle_alpha 90.00
_cell_angle_beta 90.00
_cell_angle_gamma 120.00
_symmetry_space_group_name_H-M 'P 1'
_symmetry_Int_Tables_number 1
loop_
_symmetry_equiv_pos_as_xyz
'x,y,z'
loop_
_atom_site_label
_atom_site_fract_x
_atom_site_fract_y
_atom_site_fract_z
Pb1 0.000 0.000 0.000
Se1 0.000 0.625 0.500
Se2 0.333 0.667 0.000
Se3 0.375 0.375 0.500
Se4 0.625 0.000 0.500
Se5 0.667 0.333 0.000
# D(E_F): 3.22 states/eV per cell
# E_form (uncorrected): 0.1554 eV per atom
# Space-group type: No. 189

Record 14
# GGA-PBE HAu3, relaxed
data_HAu3
_chemical_formula_sum 'H1 Au3'
_cell_length_a 2.858
_cell_length_b 2.875
_cell_length_c 7.431
_cell_angle_alpha 90.00
_cell_angle_beta 90.00
_cell_angle_gamma 90.00
_symmetry_space_group_name_H-M 'P 1'
_symmetry_Int_Tables_number 1
loop_
_symmetry_equiv_pos_as_xyz
'x,y,z'
loop_
_atom_site_label
_atom_site_fract_x
_atom_site_fract_y
_atom_site_fract_z
H1 0.000 0.000 0.000
Au1 0.000 0.500 0.555
Au2 0.500 0.000 0.852
Au3 0.500 0.500 0.224
# Offset from the most stable computed form: 24.6 meV/atom
# D(E_F): 0.89 states/eV per cell
# Space-group type: No. 25

Record 15
# GGA-PBE TiZn2Sn, relaxed
data_TiZn2Sn
_chemical_formula_sum 'Ti1 Zn2 Sn1'
_cell_length_a 10.038
_cell_length_b 10.038
_cell_length_c 10.038
_cell_angle_alpha 17.39
_cell_angle_beta 17.39
_cell_angle_gamma 17.39
_symmetry_space_group_name_H-M 'P 1'
_symmetry_Int_Tables_number 1
loop_
_symmetry_equiv_pos_as_xyz
'x,y,z'
loop_
_atom_site_label
_atom_site_fract_x
_atom_site_fract_y
_atom_site_fract_z
Ti1 0.000 0.000 0.000
Zn1 0.406 0.406 0.406
Zn2 0.594 0.594 0.594
Sn1 0.500 0.500 0.500
# D(E_F): 2.62 states/eV per cell
# Energy of formation from the pure elements: 0.12 eV/atom
# Space-group type: No. 166

Record 16
# GGA-PBE Na4Pr3AlTe8, relaxed
data_Na4Pr3AlTe8
_chemical_formula_sum 'Na4 Pr3 Al1 Te8'
_cell_length_a 9.180
_cell_length_b 9.180
_cell_length_c 9.180
_cell_angle_alpha 58.59
_cell_angle_beta 58.59
_cell_angle_gamma 58.59
_symmetry_space_group_name_H-M 'P 1'
_symmetry_Int_Tables_number 1
loop_
_symmetry_equiv_pos_as_xyz
'x,y,z'
loop_
_atom_site_label
_atom_site_fract_x
_atom_site_fract_y
_atom_site_fract_z
Na1 0.000 0.000 0.000
Na2 0.000 0.500 0.500
Na3 0.500 0.000 0.500
Na4 0.500 0.500 0.000
Pr1 0.000 0.000 0.500
Pr2 0.000 0.500 0.000
Pr3 0.500 0.000 0.000
Al1 0.500 0.500 0.500
Te1 0.248 0.248 0.248
Te2 0.270 0.728 0.728
Te3 0.272 0.272 0.730
Te4 0.272 0.730 0.272
Te5 0.728 0.270 0.728
Te6 0.728 0.728 0.270
Te7 0.730 0.272 0.272
Te8 0.752 0.752 0.752
# D(E_F): 1.63 states/eV per cell
# E_form (uncorrected): -1.1036 eV per atom
# Space-group type: No. 166

Record 17
# GGA-PBE LiSmDy2, relaxed
data_LiSmDy2
_chemical_formula_sum 'Li1 Sm1 Dy2'
_cell_length_a 5.514
_cell_length_b 5.514
_cell_length_c 5.514
_cell_angle_alpha 60.00
_cell_angle_beta 60.00
_cell_angle_gamma 60.00
_symmetry_space_group_name_H-M 'P 1'
_symmetry_Int_Tables_number 1
loop_
_symmetry_equiv_pos_as_xyz
'x,y,z'
loop_
_atom_site_label
_atom_site_fract_x
_atom_site_fract_y
_atom_site_fract_z
Li1 0.000 0.000 0.000
Sm1 0.500 0.500 0.500
Dy1 0.250 0.250 0.250
Dy2 0.750 0.750 0.750
# Offset from the most stable computed form: 125.0 meV/atom
# D(E_F): 3.69 states/eV per cell
# Energy of formation from the pure elements: 0.20 eV/atom
# Space-group type: No. 225

Record 18
# GGA-PBE Dy3HoSb2C, relaxed
data_Dy3HoSb2C
_chemical_formula_sum 'Dy3 Ho1 Sb2 C1'
_cell_length_a 8.568
_cell_length_b 8.568
_cell_length_c 8.568
_cell_angle_alpha 147.70
_cell_angle_beta 147.55
_cell_angle_gamma 46.44
_symmetry_space_group_name_H-M 'P 1'
_symmetry_Int_Tables_number 1
loop_
_symmetry_equiv_pos_as_xyz
'x,y,z'
loop_
_atom_site_label
_atom_site_fract_x
_atom_site_fract_y
_atom_site_fract_z
Dy1 0.000 0.000 0.000
Dy2 0.343 0.843 0.500
Dy3 0.657 0.157 0.500
Ho1 0.500 0.500 0.000
Sb1 0.142 0.642 0.500
Sb2 0.858 0.358 0.500
C1 0.500 0.000 0.500
# D(E_F): 5.86 states/eV per cell
# E_form (uncorrected): -0.7822 eV per atom
# Space-group type: No. 71

Record 19
# GGA-PBE Sr2LiLa2, relaxed
data_Sr2LiLa2
_chemical_formula_sum 'Sr4 Li2 La4'
_cell_length_a 8.220
_cell_length_b 8.220
_cell_length_c 6.140
_cell_angle_alpha 90.00
_cell_angle_beta 90.00
_cell_angle_gamma 90.00
_symmetry_space_group_name_H-M 'P 1'
_symmetry_Int_Tables_number 1
loop_
_symmetry_equiv_pos_as_xyz
'x,y,z'
loop_
_atom_site_label
_atom_site_fract_x
_atom_site_fract_y
_atom_site_fract_z
Sr1 0.152 0.348 0.000
Sr2 0.348 0.848 0.000
Sr3 0.652 0.152 0.000
Sr4 0.848 0.652 0.000
Li1 0.000 0.000 0.000
Li2 0.500 0.500 0.000
La1 0.159 0.659 0.500
La2 0.341 0.159 0.500
La3 0.659 0.841 0.500
La4 0.841 0.341 0.500
# Offset from the most stable computed form: 84.8 meV/atom
# D(E_F): 15.33 states/eV per cell
# Energy of formation from the pure elements: 0.34 eV/atom
# Space-group type: No. 127

Record 20
# GGA-PBE Na4OF, relaxed
data_Na4OF
_chemical_formula_sum 'Na8 O2 F2'
_cell_length_a 9.656
_cell_length_b 9.656
_cell_length_c 6.091
_cell_angle_alpha 90.00
_cell_angle_beta 90.00
_cell_angle_gamma 153.82
_symmetry_space_group_name_H-M 'P 1'
_symmetry_Int_Tables_number 1
loop_
_symmetry_equiv_pos_as_xyz
'x,y,z'
loop_
_atom_site_label
_atom_site_fract_x
_atom_site_fract_y
_atom_site_fract_z
Na1 0.010 0.990 0.500
Na2 0.144 0.856 0.871
Na3 0.218 0.782 0.296
Na4 0.390 0.610 0.794
Na5 0.610 0.390 0.294
Na6 0.782 0.218 0.796
Na7 0.856 0.144 0.371
Na8 0.990 0.010 0.000
O1 0.094 0.906 0.212
O2 0.906 0.094 0.712
F1 0.262 0.738 0.918
F2 0.738 0.262 0.418
# D(E_F): 3.51 states/eV per cell
# E_form (uncorrected): -1.3843 eV per atom
# Space-group type: No. 36